Entry 1:
Compound: LaFe2S
Source: Alexandria via LeMat-Bulk
Functional: PBE
Structure: relaxed

The structure in POSCAR format:
```
LaFe2S
1.0
-2.2514 2.2514 7.4688
2.2514 -2.2514 7.4688
2.2514 2.2514 -7.4688
La Fe S
2 4 2
direct
0.3750 0.6250 0.7500
0.6250 0.3750 0.2500
0.0000 0.0000 0.0000
0.0000 0.0000 0.5000
0.0000 0.5000 0.0000
0.5000 0.0000 0.5000
0.1250 0.8750 0.2500
0.8750 0.1250 0.7500
```

Calculated values
Its crystal system is tetragonal. The space group is I4_1/amd.

Entry 2:
Compound: La2FeS
Source: Alexandria via LeMat-Bulk
Functional: PBE
Structure: relaxed

The structure in POSCAR format:
```
La2FeS
1.0
-3.5562 3.5562 4.1020
3.5562 -3.5562 4.1020
3.5562 3.5562 -4.1020
La Fe S
4 2 2
direct
0.0856 0.6250 0.9606
0.3750 0.3356 0.4606
0.6644 0.1250 0.0394
0.8750 0.9144 0.5394
0.0000 0.0000 0.0000
0.7500 0.2500 0.5000
0.2500 0.7500 0.5000
0.5000 0.5000 0.0000
```

Calculated values
Its crystal system is tetragonal. The space group is I-42d.

Entry 3:
Compound: La3FeS
Source: Alexandria via LeMat-Bulk
Functional: PBE
Structure: relaxed

The structure in POSCAR format:
```
La3FeS
1.0
5.1745 0.0000 0.0000
0.0000 5.1745 0.0000
0.0000 0.0000 5.1745
La Fe S
3 1 1
direct
0.0000 0.0000 0.5000
0.0000 0.5000 0.0000
0.5000 0.0000 0.0000
0.0000 0.0000 0.0000
0.5000 0.5000 0.5000
```

Calculated values
The relative energy among the computed polymorphs comes out at 0.0000 eV/atom. Its crystal system is cubic. The space group is Pm-3m.

Entry 4:
Compound: LaFeS3
Source: Alexandria via LeMat-Bulk
Functional: PBE
Structure: relaxed

The structure in POSCAR format:
```
LaFeS3
1.0
4.5763 0.0000 0.0000
0.0000 4.5763 0.0000
0.0000 0.0000 4.5763
La Fe S
1 1 3
direct
0.0000 0.0000 0.0000
0.5000 0.5000 0.5000
0.0000 0.5000 0.5000
0.5000 0.0000 0.5000
0.5000 0.5000 0.0000
```

Calculated values
Its crystal system is cubic. The space group is Pm-3m.

Entry 5:
Compound: LaFeS2
Source: Alexandria via LeMat-Bulk
Functional: PBE
Structure: relaxed

The structure in POSCAR format:
```
LaFeS2
1.0
0.0000 3.3702 3.3702
3.3702 0.0000 3.3702
3.3702 3.3702 0.0000
La Fe S
1 1 2
direct
0.0000 0.0000 0.0000
0.5000 0.5000 0.5000
0.2500 0.2500 0.2500
0.7500 0.7500 0.7500
```

Calculated values
The relative energy among the computed polymorphs comes out at 0.0209 eV/atom. Its crystal system is cubic. The space group is Fm-3m.

Entry 6:
Compound: La3Fe2S7
Source: Alexandria via LeMat-Bulk
Functional: PBE
Structure: relaxed

The structure in POSCAR format:
```
La3Fe2S7
1.0
10.3156 0.0000 0.0000
-5.1578 8.9335 0.0000
0.0000 0.0000 5.8547
La Fe S
6 4 14
direct
0.1372 0.7623 0.0000
0.2377 0.3749 0.0000
0.3749 0.1372 0.5000
0.6251 0.8628 0.0000
0.7623 0.6251 0.5000
0.8628 0.2377 0.5000
0.0000 0.0000 0.2375
0.0000 0.0000 0.7375
0.3333 0.6667 0.5881
0.6667 0.3333 0.0881
0.0841 0.8539 0.4786
0.1010 0.5155 0.7260
0.1461 0.2301 0.4786
0.2301 0.0841 0.9786
0.3333 0.6667 0.2091
0.4145 0.8990 0.7260
0.4845 0.5855 0.7260
0.5155 0.4145 0.2260
0.5855 0.1010 0.2260
0.6667 0.3333 0.7091
0.7699 0.9159 0.4786
0.8539 0.7699 0.9786
0.8990 0.4845 0.2260
0.9159 0.1461 0.9786
```

Calculated values
Its crystal system is hexagonal. The space group is P6_3.

Entry 7:
Compound: LaTaFe2S
Source: Alexandria via LeMat-Bulk
Functional: PBE
Structure: relaxed

The structure in POSCAR format:
```
LaTaFe2S
1.0
4.4249 0.0000 0.0000
0.0000 4.4249 0.0000
0.0000 0.0000 6.3173
La Ta Fe S
1 1 2 1
direct
0.0000 0.0000 0.0000
0.0000 0.0000 0.5000
0.0000 0.5000 0.5000
0.5000 0.0000 0.5000
0.5000 0.5000 0.0000
```

Calculated values
Its crystal system is tetragonal. The space group is P4/mmm.

Entry 8:
Compound: LaFeTcS2
Source: Alexandria via LeMat-Bulk
Functional: PBE
Structure: relaxed

The structure in POSCAR format:
```
LaFeTcS2
1.0
4.6360 0.0000 0.0000
0.0000 4.6360 0.0000
0.0000 0.0000 4.4229
La Fe Tc S
1 1 1 2
direct
0.0000 0.0000 0.0000
0.5000 0.5000 0.5000
0.5000 0.5000 0.0000
0.0000 0.5000 0.5000
0.5000 0.0000 0.5000
```

Calculated values
Its crystal system is tetragonal. The space group is P4/mmm.

Entry 9:
Compound: LaZr2FeS
Source: Alexandria via LeMat-Bulk
Functional: PBE
Structure: relaxed

The structure in POSCAR format:
```
LaZr2FeS
1.0
5.2802 0.0000 0.0000
0.0000 5.2802 0.0000
0.0000 0.0000 4.2558
La Zr Fe S
1 2 1 1
direct
0.0000 0.0000 0.0000
0.0000 0.5000 0.0000
0.5000 0.0000 0.0000
0.0000 0.0000 0.5000
0.5000 0.5000 0.5000
```

Calculated values
Its crystal system is tetragonal. The space group is P4/mmm.

Entry 10:
Compound: La3FeSb
Source: Alexandria via LeMat-Bulk
Functional: PBE
Structure: relaxed

The structure in POSCAR format:
```
La3FeSb
1.0
5.2429 0.0000 0.0000
0.0000 5.2429 0.0000
0.0000 0.0000 5.2429
La Fe Sb
3 1 1
direct
0.0000 0.0000 0.5000
0.0000 0.5000 0.0000
0.5000 0.0000 0.0000
0.0000 0.0000 0.0000
0.5000 0.5000 0.5000
```

Calculated values
Its crystal system is cubic. The space group is Pm-3m.

Entry 11:
Compound: LaFeSb2
Source: Alexandria via LeMat-Bulk
Functional: PBE
Structure: relaxed

The structure in POSCAR format:
```
LaFeSb2
1.0
2.1070 1.2165 6.3680
-2.1070 1.2165 6.3680
0.0000 -2.4330 6.3680
La Fe Sb
1 1 2
direct
0.0000 0.0000 0.0000
0.8200 0.8200 0.8200
0.2162 0.2162 0.2162
0.4397 0.4397 0.4397
```

Calculated values
The relative energy among the computed polymorphs comes out at 0.1511 eV/atom. Its crystal system is trigonal. The space group is R3m.

Entry 12:
Compound: LaFeSb
Source: Alexandria via LeMat-Bulk
Functional: PBE
Structure: relaxed

The structure in POSCAR format:
```
LaFeSb
1.0
-1.7212 1.7212 5.7483
1.7212 -1.7212 5.7483
1.7212 1.7212 -5.7483
La Fe Sb
1 1 1
direct
0.0000 0.0000 0.0000
0.3198 0.3198 0.0000
0.7173 0.7173 0.0000
```

Calculated values
Its crystal system is tetragonal. The space group is I4mm.

Entry 13:
Compound: LaFeSb2
Source: Alexandria via LeMat-Bulk
Functional: PBE
Structure: relaxed

The structure in POSCAR format:
```
LaFeSb2
1.0
-1.7045 2.9484 4.9149
1.7045 -2.9484 4.9149
1.7045 2.9484 -4.9149
La Fe Sb
1 1 2
direct
0.0000 0.0000 0.0000
0.5000 0.5000 0.0000
0.3024 0.8024 0.5000
0.6976 0.1976 0.5000
```

Calculated values
The relative energy among the computed polymorphs comes out at 0.3467 eV/atom. Its crystal system is orthorhombic. The space group is Immm.

Entry 14:
Compound: LaFeSb2
Source: Alexandria via LeMat-Bulk
Functional: PBE
Structure: relaxed

The structure in POSCAR format:
```
LaFeSb2
1.0
2.7065 -4.2973 0.0000
2.7065 4.2973 0.0000
0.0000 0.0000 4.1619
La Fe Sb
1 1 2
direct
0.0000 0.0000 0.0000
0.5000 0.5000 0.0000
0.3232 0.6768 0.5000
0.6768 0.3232 0.5000
```

Calculated values
The relative energy among the computed polymorphs comes out at 0.1719 eV/atom. Its crystal system is orthorhombic. The space group is Cmmm.

Entry 15:
Compound: LaFeSb2
Source: Alexandria via LeMat-Bulk
Functional: PBE
Structure: relaxed

The structure in POSCAR format:
```
LaFeSb2
1.0
0.0000 3.6119 3.6119
3.6119 0.0000 3.6119
3.6119 3.6119 0.0000
La Fe Sb
1 1 2
direct
0.0000 0.0000 0.0000
0.5000 0.5000 0.5000
0.2500 0.2500 0.2500
0.7500 0.7500 0.7500
```

Calculated values
The relative energy among the computed polymorphs comes out at 0.6354 eV/atom. Its crystal system is cubic. The space group is Fm-3m.

Entry 16:
Compound: LaFeSb2
Source: Alexandria via LeMat-Bulk
Functional: PBE
Structure: relaxed

The structure in POSCAR format:
```
LaFeSb2
1.0
4.3821 0.0000 0.0000
0.0000 4.3821 0.0000
0.0000 0.0000 10.1488
La Fe Sb
2 2 4
direct
0.2500 0.2500 0.2431
0.7500 0.7500 0.7569
0.2500 0.7500 0.0000
0.7500 0.2500 0.0000
0.2500 0.2500 0.8714
0.2500 0.7500 0.5000
0.7500 0.2500 0.5000
0.7500 0.7500 0.1286
```

Calculated values
The relative energy among the computed polymorphs comes out at 0.0000 eV/atom. Its crystal system is tetragonal. The space group is P4/nmm.

Entry 17:
Compound: LaFeSb2
Source: Alexandria via LeMat-Bulk
Functional: PBE
Structure: relaxed

The structure in POSCAR format:
```
LaFeSb2
1.0
0.0000 3.6844 3.6844
3.6844 0.0000 3.6844
3.6844 3.6844 0.0000
La Fe Sb
1 1 2
direct
0.0000 0.0000 0.0000
0.7500 0.7500 0.7500
0.2500 0.2500 0.2500
0.5000 0.5000 0.5000
```

Calculated values
The relative energy among the computed polymorphs comes out at 0.6121 eV/atom. Its crystal system is cubic. The space group is F-43m.

Entry 18:
Compound: LaFeSb2
Source: Alexandria via LeMat-Bulk
Functional: PBE
Structure: relaxed

The structure in POSCAR format:
```
LaFeSb2
1.0
-2.2287 2.2287 5.0513
2.2287 -2.2287 5.0513
2.2287 2.2287 -5.0513
La Fe Sb
1 1 2
direct
0.0000 0.0000 0.0000
0.7500 0.2500 0.5000
0.2500 0.7500 0.5000
0.5000 0.5000 0.0000
```

Calculated values
The relative energy among the computed polymorphs comes out at 0.4124 eV/atom. Its crystal system is tetragonal. The space group is I-4m2.

Entry 19:
Compound: LaFeSb2
Source: Alexandria via LeMat-Bulk
Functional: PBE
Structure: relaxed

The structure in POSCAR format:
```
LaFeSb2
1.0
4.3522 0.0000 0.0000
0.0000 5.0775 0.0000
-0.0019 0.0000 5.0914
La Fe Sb
1 1 2
direct
0.0000 0.0000 0.0000
0.4968 0.5000 0.6534
0.4997 0.0000 0.5060
0.5003 0.5000 0.1392
```

Calculated values
The relative energy among the computed polymorphs comes out at 0.3099 eV/atom. Its crystal system is monoclinic. The space group is Pm.

Entry 20:
Compound: LaFeSb2
Source: Alexandria via LeMat-Bulk
Functional: PBE
Structure: relaxed

The structure in POSCAR format:
```
LaFeSb2
1.0
-2.6869 2.6869 8.3249
2.6869 -2.6869 8.3249
2.6869 2.6869 -8.3249
La Fe Sb
2 2 4
direct
0.0000 0.0000 0.0000
0.7500 0.2500 0.5000
0.2500 0.7500 0.5000
0.5000 0.5000 0.0000
0.2609 0.6250 0.1359
0.3750 0.5109 0.6359
0.4891 0.1250 0.8641
0.8750 0.7391 0.3641
```

Calculated values
The relative energy among the computed polymorphs comes out at 0.4677 eV/atom. Its crystal system is tetragonal. The space group is I-42d.

Entry 21:
Compound: LaFe4Sb
Source: Alexandria via LeMat-Bulk
Functional: PBE
Structure: relaxed

The structure in POSCAR format:
```
LaFe4Sb
1.0
0.0000 3.6969 3.6969
3.6969 0.0000 3.6969
3.6969 3.6969 0.0000
La Fe Sb
1 4 1
direct
0.0000 0.0000 0.0000
0.3734 0.3734 0.3734
0.3734 0.3734 0.8798
0.3734 0.8798 0.3734
0.8798 0.3734 0.3734
0.7500 0.7500 0.7500
```

Calculated values
Its crystal system is cubic. The space group is F-43m.

Entry 22:
Compound: LaFeSb4
Source: Alexandria via LeMat-Bulk
Functional: PBE
Structure: relaxed

The structure in POSCAR format:
```
LaFeSb4
1.0
0.0000 4.3865 4.3865
4.3865 0.0000 4.3865
4.3865 4.3865 0.0000
La Fe Sb
1 1 4
direct
0.0000 0.0000 0.0000
0.2500 0.2500 0.2500
0.1279 0.6240 0.6240
0.6240 0.1279 0.6240
0.6240 0.6240 0.1279
0.6240 0.6240 0.6240
```

Calculated values
Its crystal system is cubic. The space group is F-43m.

Entry 23:
Compound: LaFeSb2
Source: Alexandria via LeMat-Bulk
Functional: PBE
Structure: relaxed

The structure in POSCAR format:
```
LaFeSb2
1.0
3.5056 0.0000 0.0000
0.0000 3.5231 0.0000
0.0000 0.0000 7.6105
La Fe Sb
1 1 2
direct
0.0000 0.0000 0.0000
0.0000 0.0000 0.5000
0.5000 0.5000 0.3012
0.5000 0.5000 0.6988
```

Calculated values
The relative energy among the computed polymorphs comes out at 0.4085 eV/atom. Its crystal system is orthorhombic. The space group is Pmmm.

Entry 24:
Compound: La2Fe2Sb
Source: Alexandria via LeMat-Bulk
Functional: PBE
Structure: relaxed

The structure in POSCAR format:
```
La2Fe2Sb
1.0
7.2897 0.0000 0.0000
0.0000 7.2897 0.0000
0.0000 0.0000 4.3381
La Fe Sb
4 4 2
direct
0.1837 0.3163 0.0000
0.3163 0.8163 0.0000
0.6837 0.1837 0.0000
0.8163 0.6837 0.0000
0.1091 0.6091 0.5000
0.3909 0.1091 0.5000
0.6091 0.8909 0.5000
0.8909 0.3909 0.5000
0.0000 0.0000 0.5000
0.5000 0.5000 0.5000
```

Calculated values
Its crystal system is tetragonal. The space group is P4/mbm.

Entry 25:
Compound: LaFeSb2
Source: Alexandria via LeMat-Bulk
Functional: PBE
Structure: relaxed

The structure in POSCAR format:
```
LaFeSb2
1.0
2.1300 1.2298 6.1289
-2.1300 1.2298 6.1289
0.0000 -2.4595 6.1289
La Fe Sb
1 1 2
direct
0.0000 0.0000 0.0000
0.5000 0.5000 0.5000
0.2229 0.2229 0.2229
0.7771 0.7771 0.7771
```

Calculated values
The relative energy among the computed polymorphs comes out at 0.1515 eV/atom. Its crystal system is trigonal. The space group is R-3m.

Entry 26:
Compound: LaFe4Sb12
Source: Alexandria via LeMat-Bulk
Functional: PBE
Structure: relaxed

The structure in POSCAR format:
```
LaFe4Sb12
1.0
-4.5917 4.5917 4.5917
4.5917 -4.5917 4.5917
4.5917 4.5917 -4.5917
La Fe Sb
1 4 12
direct
0.0000 0.0000 0.0000
0.0000 0.0000 0.5000
0.0000 0.5000 0.0000
0.5000 0.0000 0.0000
0.5000 0.5000 0.5000
0.1630 0.3351 0.4981
0.1630 0.6649 0.8279
0.1721 0.8370 0.3351
0.3351 0.1721 0.8370
0.3351 0.4981 0.1630
0.4981 0.1630 0.3351
0.5019 0.8370 0.6649
0.6649 0.5019 0.8370
0.6649 0.8279 0.1630
0.8279 0.1630 0.6649
0.8370 0.3351 0.1721
0.8370 0.6649 0.5019
```

Calculated values
Its crystal system is cubic. The space group is Im-3.

no.,raw formation energy (meV per atom)
1,-346
2,-541
3,-331
4,-1062
5,-994
6,-1467
7,835
8,-189
9,1338
10,-486
11,-406
12,-148
13,-210
14,-385
15,79
16,-557
17,55
18,-144
19,-247
20,-89
21,61
22,239
23,-148
24,-268
25,-405
26,-227